Record 1
This record from the Alexandria database describes a relaxed CeEr3Tl4Se8 crystal. The functional is PBE.

Computed properties:
total magnetic moment: 3.1 μB/cell
energy: -0.181 Ha/atom

```
data_CeEr3Tl4Se8
_chemical_formula_sum 'Ce3 Er9 Tl12 Se24'
_space_group_name_H-M_alt 'R -3 m'
_space_group_IT_number 166
_space_group_name_Hall '-R 3 2"'
_cell_length_a 8.4081
_cell_length_b 8.4081
_cell_length_c 23.3091
_cell_angle_alpha 90.00
_cell_angle_beta 90.00
_cell_angle_gamma 120.00
loop_
_atom_site_label
_atom_site_type_symbol
_atom_site_fract_x
_atom_site_fract_y
_atom_site_fract_z
_atom_site_occupancy
Ce1 Ce 0.0000 0.0000 0.0000 1
Er1 Er 0.0000 0.5000 0.0000 1
Tl1 Tl 0.0000 0.0000 0.5000 1
Tl2 Tl 0.0000 0.5000 0.5000 1
Se1 Se 0.0000 0.0000 0.2663 1
Se2 Se 0.0094 0.5047 0.2651 1
```

---

Record 2
This record from the Alexandria database describes a relaxed ReC crystal. The functional is PBE.

Computed properties:
E above lowest polymorph: 0.2377 eV/atom
total magnetic moment: 0.0 μB/cell
energy: -0.381 Ha/atom
formation enthalpy at 0 K: 0.478 eV/atom

```
data_ReC
_chemical_formula_sum 'Re8 C8'
_space_group_name_H-M_alt 'I 4/m'
_space_group_IT_number 87
_space_group_name_Hall '-I 4'
_cell_length_a 7.887
_cell_length_b 7.887
_cell_length_c 3.580
_cell_angle_alpha 90.00
_cell_angle_beta 90.00
_cell_angle_gamma 90.00
loop_
_atom_site_label
_atom_site_type_symbol
_atom_site_fract_x
_atom_site_fract_y
_atom_site_fract_z
_atom_site_occupancy
Re1 Re 0.134 0.325 0.000 1
C1 C 0.102 0.747 0.000 1
```

---

Which calculated volume belongs to each record? In order, 29.73; 13.92 A^3/atom.